1.
## EuTm3Ru (PBE-GGA)

Data for an optimized crystal structure of EuTm3Ru.

a b c (Å): 5.3763 5.3763 5.3763
angles (deg): 90.00 90.00 90.00
Closest atoms and distances in Å follow each position.
Fractional positions:
1 Eu 0.5000 0.5000 0.5000  12 Tm 3.80
2 Ru 0.0000 0.0000 0.0000  6 Tm 2.69
3 Tm 0.0000 0.0000 0.5000  2 Ru 2.69
4 Tm 0.0000 0.5000 0.0000  2 Ru 2.69
5 Tm 0.5000 0.0000 0.0000  2 Ru 2.69

Results
The value obtained for the density of states at the Fermi level is 3.63 states/eV per cell. As for the space group: Pm-3m. The formation energy is -0.184 eV per atom. The value obtained for the calculated density is 8.1 g cm⁻³. For the size of the total moment, the calculation gives 7.254 μB per formula unit.

2.
## EuURu2 (PBE-GGA)

Data for an optimized crystal structure of EuURu2.

a b c (Å): 3.3586 3.3586 7.3413
angles (deg): 90.00 90.00 90.00
Closest atoms and distances in Å follow each position.
Fractional positions:
1 U 0.5000 0.5000 0.0000  8 Ru 2.77
2 Ru 0.0000 0.0000 0.1935  4 U 2.77, 1 Ru 2.84
3 Ru 0.0000 0.0000 0.8065  4 U 2.77, 1 Ru 2.84
4 Eu 0.5000 0.5000 0.5000  8 Ru 3.27, 4 Eu 3.36

Results
The value obtained for the density of states at the Fermi level is 7.37 states/eV per cell. As for the space group: P4/mmm. The formation energy is -0.191 eV per atom. The value obtained for the calculated density is 11.9 g cm⁻³. For the size of the total moment, the calculation gives 7.237 μB per formula unit.

3.
## EuURu2 (PBE-GGA)

Data for an optimized crystal structure of EuURu2.

a b c (Å): 3.4266 3.4266 8.6330
angles (deg): 78.55 78.55 60.00
Closest atoms and distances in Å follow each position.
Fractional positions:
1 Eu 0.5000 0.5000 0.5000  6 Ru 3.19, 6 Eu 3.43
2 U 0.0000 0.0000 0.0000  6 Ru 2.60
3 Ru 0.2662 0.2662 0.2015  3 U 2.60
4 Ru 0.7338 0.7338 0.7985  3 U 2.60

Results
The value obtained for the density of states at the Fermi level is 3.15 states/eV per cell. As for the space group: R-3m. The formation energy is -0.047 eV per atom. The value obtained for the calculated density is 11.5 g cm⁻³. For the size of the total moment, the calculation gives 7.382 μB per formula unit.

4.
## EuVRu2 (PBE-GGA)

Data for an optimized crystal structure of EuVRu2.

a b c (Å): 3.0756 3.0756 7.2302
angles (deg): 90.00 90.00 90.00
Closest atoms and distances in Å follow each position.
Fractional positions:
1 Ru 0.0000 0.0000 0.1948  4 V 2.59, 1 Ru 2.82
2 Ru 0.0000 0.0000 0.8052  4 V 2.59, 1 Ru 2.82
3 Eu 0.5000 0.5000 0.5000  4 Eu 3.08, 8 Ru 3.10
4 V 0.5000 0.5000 0.0000  8 Ru 2.59

Results
The value obtained for the density of states at the Fermi level is 4.64 states/eV per cell. As for the space group: P4/mmm. The formation energy is 0.006 eV per atom. The value obtained for the calculated density is 9.8 g cm⁻³. For the size of the total moment, the calculation gives 6.785 μB per formula unit.

5.
## EuRu2W (PBE-GGA)

Data for an optimized crystal structure of EuRu2W.

a b c (Å): 3.1266 3.1266 7.4338
angles (deg): 90.00 90.00 90.00
Closest atoms and distances in Å follow each position.
Fractional positions:
1 W 0.5000 0.5000 0.0000  8 Ru 2.65
2 Ru 0.0000 0.0000 0.1974  4 W 2.65, 1 Ru 2.94
3 Ru 0.0000 0.0000 0.8026  4 W 2.65, 1 Ru 2.94
4 Eu 0.5000 0.5000 0.5000  4 Eu 3.13, 8 Ru 3.15

Results
The value obtained for the density of states at the Fermi level is 4.28 states/eV per cell. As for the space group: P4/mmm. The formation energy is 0.120 eV per atom. The value obtained for the calculated density is 12.3 g cm⁻³. For the size of the total moment, the calculation gives 6.711 μB per formula unit.

6.
## EuY2Ru (PBE-GGA)

Data for an optimized crystal structure of EuY2Ru.

a b c (Å): 3.4583 3.4583 9.4950
angles (deg): 90.00 90.00 90.00
Closest atoms and distances in Å follow each position.
Fractional positions:
1 Eu 0.5000 0.5000 0.5000  4 Eu 3.46
2 Ru 0.5000 0.5000 0.0000  8 Y 2.95
3 Y 0.0000 0.0000 0.8269  4 Ru 2.95, 1 Y 3.29
4 Y 0.0000 0.0000 0.1731  4 Ru 2.95, 1 Y 3.29

Results
The value obtained for the density of states at the Fermi level is 2.37 states/eV per cell. As for the space group: P4/mmm. The formation energy is -0.198 eV per atom. The value obtained for the calculated density is 6.3 g cm⁻³. For the size of the total moment, the calculation gives 7.525 μB per formula unit.

7.
## EuY2Ru (PBE-GGA)

Data for an optimized crystal structure of EuY2Ru.

a b c (Å): 3.9827 3.9827 9.7009
angles (deg): 78.15 78.15 60.00
Closest atoms and distances in Å follow each position.
Fractional positions:
1 Ru 0.0000 0.0000 0.0000  6 Y 2.74
2 Y 0.2806 0.2806 0.1581  3 Ru 2.74
3 Y 0.7194 0.7194 0.8419  3 Ru 2.74
4 Eu 0.5000 0.5000 0.5000  6 Y 3.96, 6 Eu 3.98

Results
The value obtained for the density of states at the Fermi level is 2.44 states/eV per cell. As for the space group: R-3m. The formation energy is -0.059 eV per atom. The value obtained for the calculated density is 5.5 g cm⁻³. For the size of the total moment, the calculation gives 7.502 μB per formula unit.

8.
## EuYZnRu (PBE-GGA)

Data for an optimized crystal structure of EuYZnRu.

a b c (Å): 4.9913 4.9913 4.9913
angles (deg): 60.00 60.00 60.00
Closest atoms and distances in Å follow each position.
Fractional positions:
1 Eu 0.0000 0.0000 0.0000  4 Ru 3.06, 4 Zn 3.06
2 Ru 0.7500 0.7500 0.7500  4 Eu 3.06, 4 Y 3.06
3 Zn 0.2500 0.2500 0.2500  4 Y 3.06, 4 Eu 3.06
4 Y 0.5000 0.5000 0.5000  4 Ru 3.06, 4 Zn 3.06

Results
The value obtained for the density of states at the Fermi level is 3.03 states/eV per cell. As for the space group: F-43m. The formation energy is -0.150 eV per atom. The value obtained for the calculated density is 7.7 g cm⁻³. For the size of the total moment, the calculation gives 6.897 μB per formula unit.

9.
## EuZnRu (PBE-GGA)

Data for an optimized crystal structure of EuZnRu.

a b c (Å): 3.7479 4.3988 4.3988
angles (deg): 120.00 90.00 90.00
Closest atoms and distances in Å follow each position.
Fractional positions:
1 Zn 0.1666 0.0000 0.0000  3 Ru 2.54
2 Eu 0.6666 0.6667 0.3333  6 Ru 3.16, 6 Zn 3.16
3 Ru 0.1667 0.3333 0.6667  3 Zn 2.54

Results
The value obtained for the density of states at the Fermi level is 6.95 states/eV per cell. As for the space group: P-6m2. The formation energy is 0.042 eV per atom. The value obtained for the calculated density is 8.4 g cm⁻³. For the size of the total moment, the calculation gives 6.616 μB per formula unit.

10.
## EuZnRu (PBE-GGA)

Data for an optimized crystal structure of EuZnRu.

a b c (Å): 3.4351 3.4351 5.6377
angles (deg): 107.74 107.74 90.00
Closest atoms and distances in Å follow each position.
Fractional positions:
1 Zn 0.2908 0.2908 0.5817  4 Ru 2.58
2 Eu 0.0042 0.0042 0.0085  5 Zn 2.92-3.26, 5 Ru 3.05-3.17
3 Ru 0.7049 0.7049 0.4098  4 Zn 2.58

Results
The value obtained for the density of states at the Fermi level is 5.80 states/eV per cell. As for the space group: I4mm. The formation energy is -0.003 eV per atom. The value obtained for the calculated density is 8.8 g cm⁻³. For the size of the total moment, the calculation gives 6.823 μB per formula unit.

11.
## EuS (PBE-GGA)

Data for an optimized crystal structure of EuS.

a b c (Å): 3.5826 3.5826 3.5826
angles (deg): 90.00 90.00 90.00
Closest atoms and distances in Å follow each position.
Fractional positions:
1 S 0.5000 0.5000 0.5000  8 Eu 3.10
2 Eu 0.0000 0.0000 0.0000  8 S 3.10

Results
The value obtained for the density of states at the Fermi level is 5.30 states/eV per cell. As for the space group: Pm-3m. The value obtained for the calculated density is 6.6 g cm⁻³. For the size of the total moment, the calculation gives 7.000 μB per formula unit. As for the formation energy from raw total energies: -1.8222 eV/atom.

12.
## EuS (PBE-GGA)

Data for an optimized crystal structure of EuS.

a b c (Å): 4.1523 4.1523 4.1523
angles (deg): 60.00 60.00 60.00
Closest atoms and distances in Å follow each position.
Fractional positions:
1 Eu 0.0000 0.0000 0.0000  6 S 2.94
2 S 0.5000 0.5000 0.5000  6 Eu 2.94

Results
The value obtained for the density of states at the Fermi level is 7.36 states/eV per cell. As for the space group: Fm-3m. The value obtained for the calculated density is 6.0 g cm⁻³. For the size of the total moment, the calculation gives 6.995 μB per formula unit. As for the formation energy from raw total energies: -2.1532 eV/atom.